DFT (PBE-GGA) results for CuTe2Mo after structural relaxation.

As for the volume: 85 Å³/cell. The calculation puts the density at 8.08 g cm⁻³. As for the energy above the lowest structure with this stoichiometry: 294.9 meV/atom. Its formation energy (no corrections) is 0.392 eV per atom. For the final energy, the calculation gives -19.64 eV per cell.

Cell: 4.1819 3.5611 5.7203 Å, 90.00 91.04 90.00°
Closest atoms and distances in Å follow each position.
Space group P2/m (No. 10)
Inequivalent atoms, fractional coordinates:
Cu 0.0000 0.0000 0.0000  6 Te 2.75-2.86
Te 0.0000 0.0000 0.5000  4 Mo 2.75, 2 Cu 2.86
Te 0.5000 0.5000 0.0000  4 Cu 2.75, 2 Mo 2.86
Mo 0.5000 0.5000 0.5000  6 Te 2.75-2.86

---

DFT (PBE-GGA) results for MnNiH after structural relaxation.

As for the volume: 106 Å³/cell. The calculation puts the density at 7.19 g cm⁻³. For the final energy, the calculation gives -73.03 eV per cell.

Cell: 3.6194 3.8816 7.5384 Å, 90.00 90.00 90.00°
Closest atoms and distances in Å follow each position.
Space group Imma (No. 74)
Inequivalent atoms, fractional coordinates:
Mn 0.0000 0.2500 0.1229  3 H 1.94-1.96
Ni 0.0000 0.2500 0.6232  3 H 1.81
H 0.0000 0.2500 0.8629  3 Ni 1.81, 3 Mn 1.94-1.96

---

DFT (PBE-GGA) results for TaMn3Cu after structural relaxation.

As for the volume: 101 Å³/cell. The calculation puts the density at 6.72 g cm⁻³. As for the energy above the lowest structure with this stoichiometry: 394.0 meV/atom. For the final energy, the calculation gives -35.93 eV per cell.

Cell: 4.6581 4.6581 4.6581 Å, 90.00 90.00 90.00°
Closest atoms and distances in Å follow each position.
Space group Pm-3m (No. 221)
Inequivalent atoms, fractional coordinates:
Ta 0.0000 0.0000 0.0000  6 Mn 2.33
Mn 0.0000 0.0000 0.5000  2 Ta 2.33
Cu 0.5000 0.5000 0.5000  12 Mn 3.29

---

DFT (PBE-GGA) results for Tb2ErTl4 after structural relaxation.

As for the volume: 419 Å³/cell. The calculation puts the density at 10.32 g cm⁻³. As for the energy above the lowest structure with this stoichiometry: 0.0 meV/atom. For the final energy, the calculation gives -49.69 eV per cell.

Cell: 7.4221 7.4221 7.6127 Å, 90.00 90.00 90.00°
Closest atoms and distances in Å follow each position.
Space group I4/mmm (No. 139)
Inequivalent atoms, fractional coordinates:
Tb 0.0000 0.5000 0.0000  8 Tl 3.24
Er 0.0000 0.0000 0.0000  8 Tl 3.24
Tl 0.2500 0.2500 0.2500  2 Er 3.24, 4 Tb 3.24

---

DFT (PBE-GGA) results for SbTe2WAu after structural relaxation.

As for the volume: 152 Å³/cell. The calculation puts the density at 8.27 g cm⁻³. As for the energy above the lowest structure with this stoichiometry: 764.9 meV/atom. Its formation energy (no corrections) is 1.501 eV per atom. For the final energy, the calculation gives -19.13 eV per cell.

Cell: 5.4049 5.4049 5.2112 Å, 90.00 90.00 90.00°
Closest atoms and distances in Å follow each position.
Space group P4/mmm (No. 123)
Inequivalent atoms, fractional coordinates:
Sb 0.0000 0.0000 0.0000  2 Au 2.61
Te 0.0000 0.5000 0.5000  2 Au 2.70
W 0.5000 0.5000 0.0000  8 Te 3.75, 4 Sb 3.82
Au 0.0000 0.0000 0.5000  2 Sb 2.61, 4 Te 2.70

---

DFT (PBE-GGA) results for Na7Tl4Au after structural relaxation.

As for the volume: 728 Å³/cell. The calculation puts the density at 5.36 g cm⁻³. For the final energy, the calculation gives -46.14 eV per cell.

Cell: 11.8264 5.5439 11.4676 Å, 90.00 104.56 90.00°
Closest atoms and distances in Å follow each position.
Space group C2/m (No. 12)
Inequivalent atoms, fractional coordinates:
Na 0.0000 0.0000 0.0000  2 Au 2.77
Na 0.1174 0.5000 0.2570  1 Au 2.93
Na 0.1354 0.0000 0.4624  5 Tl 3.30-3.49, 3 Na 3.52-3.61
Na 0.2105 0.5000 0.9085  1 Au 2.93, 1 Tl 3.25
Tl 0.1056 0.0000 0.7574  2 Tl 3.21, 6 Na 3.30-3.49
Tl 0.1101 0.5000 0.6172  3 Tl 3.21-3.24, 5 Na 3.25-3.36
Au 0.0000 0.5000 0.0000  6 Na 2.77-2.93